Below is an optimized crystal structure of Mg4CrMo, with properties calculated at the PBE level.

Structure (CIF):
```
data_Mg4CrMo
_chemical_formula_sum 'Mg16 Cr4 Mo4'
_space_group_name_H-M_alt 'F -4 3 m'
_space_group_IT_number 216
_space_group_name_Hall 'F -4 2 3'
_cell_length_a 7.784
_cell_length_b 7.784
_cell_length_c 7.784
_cell_angle_alpha 90.00
_cell_angle_beta 90.00
_cell_angle_gamma 90.00
loop_
_atom_site_label
_atom_site_fract_x
_atom_site_fract_y
_atom_site_fract_z
_atom_site_occupancy
Mg1 0.125 0.125 0.125 1
Cr1 0.000 0.000 0.500 1
Mo1 0.250 0.250 0.750 1
```

Values from the calculation:
Magnetic moment (Bohr magnetons per cell): 0.1
Formation energy (eV per atom): 0.6017